# K3U3RuSe8 PBE relaxed
# - total DFT energy (no corrections) (eV/atom) = -6.0095
# - space group = R-3m (166)
# - E_form (uncorrected) (eV per atom) = -1.0556
data_K3U3RuSe8
_cell_length_a 9.2887
_cell_length_b 9.2887
_cell_length_c 9.2887
_cell_angle_alpha 50.59
_cell_angle_beta 50.59
_cell_angle_gamma 50.59
_symmetry_space_group_name_H-M 'P 1'
_symmetry_Int_Tables_number 1
loop_
_symmetry_equiv_pos_as_xyz
'x,y,z'
loop_
_atom_site_label
_atom_site_type_symbol
_atom_site_fract_x
_atom_site_fract_y
_atom_site_fract_z
_atom_site_occupancy
K1 K 0.0000 0.5000 0.5000 1
K2 K 0.5000 0.0000 0.5000 1
K3 K 0.5000 0.5000 0.0000 1
U1 U 0.0000 0.0000 0.5000 1
U2 U 0.0000 0.5000 0.0000 1
U3 U 0.5000 0.0000 0.0000 1
Ru1 Ru 0.5000 0.5000 0.5000 1
Se1 Se 0.2378 0.2378 0.2378 1
Se2 Se 0.2554 0.7196 0.7196 1
Se3 Se 0.2804 0.2804 0.7446 1
Se4 Se 0.2804 0.7446 0.2804 1
Se5 Se 0.7196 0.2554 0.7196 1
Se6 Se 0.7196 0.7196 0.2554 1
Se7 Se 0.7446 0.2804 0.2804 1
Se8 Se 0.7622 0.7622 0.7622 1